DFT (PBE) results for crystalline Dy2ScTe at its relaxed geometry. Values from VASP.

Geometry as Quantum ESPRESSO input:
```
&SYSTEM
  ibrav = 0, nat = 4, ntyp = 3
/
ATOMIC_SPECIES
Dy 162.50 Dy.upf
Sc 44.96 Sc.upf
Te 127.60 Te.upf
CELL_PARAMETERS angstrom
1.888 1.090 10.330
-1.888 1.090 10.330
0.000 -2.180 10.330
ATOMIC_POSITIONS crystal
Dy 0.099 0.099 0.099
Dy 0.901 0.901 0.901
Sc 0.000 0.000 0.000
Te 0.500 0.500 0.500
```

## Properties
Symmetry: R-3m
Energy relative to the lowest polymorph listed for this composition, eV per atom: 0.429
Electronic total energy, eV/f.u.: -19.199